#1
First-principles (GGA-PBE) data for TeH2S after structural relaxation, as listed in the Alexandria database.

abc: 7.3746 4.0328 13.7066
angles: 90.00 122.50 90.00
With the nearest neighbours (Å) after each atom.
Fractional coordinates of all 16 atoms:
Te 0.0865 0.2476 0.0864  2 Te 2.82-2.85, 2 H 2.96
Te 0.0865 0.7524 0.5864  2 Te 2.82-2.85, 2 H 2.96
Te 0.9135 0.2476 0.4136  2 Te 2.82-2.85, 2 H 2.96
Te 0.9135 0.7524 0.9136  2 Te 2.82-2.85, 2 H 2.96
H 0.2281 0.0167 0.8628  1 S 1.36
H 0.2281 0.9833 0.3628  1 S 1.36
H 0.4965 0.0159 0.8630  1 S 1.36
H 0.4965 0.9841 0.3630  1 S 1.36
H 0.5035 0.0159 0.6370  1 S 1.36
H 0.5035 0.9841 0.1370  1 S 1.36
H 0.7719 0.0167 0.6372  1 S 1.36
H 0.7719 0.9833 0.1372  1 S 1.36
S 0.3344 0.2340 0.8348  2 H 1.36
S 0.3344 0.7660 0.3348  2 H 1.36
S 0.6656 0.2340 0.6652  2 H 1.36
S 0.6656 0.7660 0.1652  2 H 1.36

SG: No. 13
Size of the total moment (μB/f.u.): 0.00

#2
First-principles (GGA-PBE) data for TeH2S after structural relaxation, as listed in the Alexandria database.

abc: 4.0645 4.0645 4.0645
angles: 60.00 60.00 60.00
With the nearest neighbours (Å) after each atom.
Fractional coordinates of all 4 atoms:
Te 0.0000 0.0000 0.0000  8 H 2.49
H 0.2500 0.2500 0.2500  4 S 2.49, 4 Te 2.49
H 0.7500 0.7500 0.7500  4 Te 2.49, 4 S 2.49
S 0.5000 0.5000 0.5000  8 H 2.49

SG: No. 225
Size of the total moment (μB/f.u.): 0.00

#3
First-principles (GGA-PBE) data for TeH2S after structural relaxation, as listed in the Alexandria database.

abc: 4.9221 4.9221 3.3201
angles: 97.96 97.96 72.81
With the nearest neighbours (Å) after each atom.
Fractional coordinates of all 4 atoms:
Te 0.0000 0.0000 0.0000  1 H 1.73
H 0.2210 0.2210 0.0612  1 Te 1.73
H 0.5802 0.5802 0.3791  1 S 1.37
S 0.5054 0.5054 0.9766  1 H 1.37

SG: No. 8
Size of the total moment (μB/f.u.): 0.00

Of them, #1 has the highest stability.

#1
First-principles (GGA-PBE) data for ThH2S after structural relaxation, as listed in the Alexandria database.

abc: 3.9185 5.6093 5.1121
angles: 90.00 90.00 90.00
With the nearest neighbours (Å) after each atom.
Fractional coordinates of all 8 atoms:
Th 0.2500 0.2500 0.1999  6 H 2.30-2.31
Th 0.7500 0.7500 0.8001  6 H 2.30-2.31
H 0.2500 0.5500 0.8942  3 H 2.24-2.31, 3 Th 2.30-2.31
H 0.2500 0.9500 0.8942  3 H 2.24-2.31, 3 Th 2.30-2.31
H 0.7500 0.0500 0.1058  3 H 2.24-2.31, 3 Th 2.30-2.31
H 0.7500 0.4500 0.1058  3 H 2.24-2.31, 3 Th 2.30-2.31
S 0.2500 0.7500 0.3863  8 H 2.75-2.95, 4 Th 2.88-2.96
S 0.7500 0.2500 0.6137  8 H 2.75-2.95, 4 Th 2.88-2.96

SG: No. 59
Size of the total moment (μB/f.u.): 0.00

#2
First-principles (GGA-PBE) data for ThH2S after structural relaxation, as listed in the Alexandria database.

abc: 4.0966 4.0966 4.0966
angles: 63.28 63.28 63.28
With the nearest neighbours (Å) after each atom.
Fractional coordinates of all 4 atoms:
Th 0.0000 0.0000 0.0000  2 H 2.28
H 0.2329 0.2329 0.2329  1 Th 2.28
H 0.7671 0.7671 0.7671  1 Th 2.28
S 0.5000 0.5000 0.5000  8 H 2.56-2.61

SG: No. 166
Size of the total moment (μB/f.u.): 0.00

Of them, #1 has the highest stability.

#1
First-principles (GGA-PBE) data for Ti3HS after structural relaxation, as listed in the Alexandria database.

abc: 3.9225 3.9225 3.9225
angles: 90.00 90.00 90.00
With the nearest neighbours (Å) after each atom.
Fractional coordinates of all 5 atoms:
Ti 0.0000 0.0000 0.5000  2 H 1.96
Ti 0.0000 0.5000 0.0000  2 H 1.96
Ti 0.5000 0.0000 0.0000  2 H 1.96
H 0.0000 0.0000 0.0000  6 Ti 1.96
S 0.5000 0.5000 0.5000  12 Ti 2.77

SG: No. 221
Size of the total moment (μB/f.u.): 0.00

#2
First-principles (GGA-PBE) data for Ti3HS after structural relaxation, as listed in the Alexandria database.

abc: 6.1897 6.1897 8.2717
angles: 112.65 112.65 29.64
With the nearest neighbours (Å) after each atom.
Fractional coordinates of all 10 atoms:
Ti 0.1349 0.1349 0.1881  2 H 2.01
Ti 0.1721 0.1721 0.5792  1 H 1.82
Ti 0.3487 0.3487 0.1013  2 S 2.40
Ti 0.6513 0.6513 0.8987  2 S 2.40
Ti 0.8279 0.8279 0.4208  1 H 1.82
Ti 0.8651 0.8651 0.8119  2 H 2.01
H 0.3373 0.3373 0.6514  3 Ti 1.82-2.01
H 0.6627 0.6627 0.3486  3 Ti 1.82-2.01
S 0.0178 0.0178 0.6949  5 Ti 2.39-2.49, 2 H 2.59
S 0.9822 0.9822 0.3051  5 Ti 2.39-2.49, 2 H 2.59

SG: No. 12
Size of the total moment (μB/f.u.): 0.00

Of them, #2 has the highest stability.

#1
First-principles (GGA-PBE) data for TiH2S after structural relaxation, as listed in the Alexandria database.

abc: 3.5964 3.5964 3.5964
angles: 66.54 66.54 66.54
With the nearest neighbours (Å) after each atom.
Fractional coordinates of all 4 atoms:
Ti 0.0000 0.0000 0.0000  2 H 1.82
H 0.2176 0.2176 0.2176  1 Ti 1.82
H 0.7824 0.7824 0.7824  1 Ti 1.82
S 0.5000 0.5000 0.5000  8 H 2.32-2.36

SG: No. 166
Size of the total moment (μB/f.u.): 0.00

#2
First-principles (GGA-PBE) data for TiH2S after structural relaxation, as listed in the Alexandria database.

abc: 7.0742 7.0742 7.0742
angles: 151.10 151.10 41.32
With the nearest neighbours (Å) after each atom.
Fractional coordinates of all 8 atoms:
Ti 0.3750 0.6250 0.7500  4 H 1.88
Ti 0.6250 0.3750 0.2500  4 H 1.88
H 0.0000 0.5000 0.5000  2 H 1.76, 2 Ti 1.88
H 0.5000 0.0000 0.0000  2 H 1.76, 2 Ti 1.88
H 0.5000 0.5000 0.0000  2 H 1.76, 2 Ti 1.88
H 0.5000 0.5000 0.5000  2 H 1.76, 2 Ti 1.88
S 0.1250 0.8750 0.2500  4 Ti 2.50, 8 H 2.58
S 0.8750 0.1250 0.7500  4 Ti 2.50, 8 H 2.58

SG: No. 141
Size of the total moment (μB/f.u.): 0.00

Of them, #2 has the highest stability.